# CsYNb6Br18, relaxed, DFT PBEsol
data_CsYNb6Br18
_chemical_formula_sum 'Cs2 Y2 Nb12 Br36'
_symmetry_space_group_name_H-M 'P -3 1 c'
_symmetry_Int_Tables_number 163
_symmetry_space_group_name_Hall '-P 3 2c'
_cell_length_a 9.6705
_cell_length_b 9.6705
_cell_length_c 18.0291
_cell_angle_alpha 90.00
_cell_angle_beta 90.00
_cell_angle_gamma 120.00
loop_
_atom_site_label
_atom_site_type_symbol
_atom_site_fract_x
_atom_site_fract_y
_atom_site_fract_z
Cs1 Cs 0.3333 0.6667 0.2500
Y1 Y 0.3333 0.6667 0.7500
Nb1 Nb 0.0376 0.1908 0.5662
Br1 Br 0.0448 0.2344 0.3378
Br2 Br 0.0807 0.4483 0.6613
Br3 Br 0.1434 0.4223 0.0005
# mass density = 5.04 Mg/m³
# raw formation energy = -1147 meV per atom